# 1
Material: Sr2Ga4NiIr3
Method: DFT, PBE-GGA
State: relaxed

abc: 4.2844 4.2844 10.4721
angles: 90.00 90.00 90.00
Space group P-4m2 (No. 115)
Inequivalent atoms, fractional coordinates:
1 Sr 0.0000 0.5000 0.2448
2 Ga 0.0000 0.0000 0.5000
3 Ga 0.0000 0.5000 0.8775
4 Ga 0.5000 0.5000 0.5000
5 Ni 0.5000 0.5000 0.0000
6 Ir 0.0000 0.0000 0.0000
7 Ir 0.0000 0.5000 0.6323

Formation energy from the elements = -50.1 kJ/mol of atoms

# 2
Material: SrGa4NiIr2
Method: DFT, PBE-GGA
State: relaxed

abc: 4.2506 4.2506 27.5173
angles: 90.00 90.00 120.00
Space group R-3m (No. 166, hexagonal axes)
Inequivalent atoms, fractional coordinates:
1 Sr 0.0000 0.0000 0.0000
2 Ga 0.0000 0.0000 0.1340
3 Ga 0.0000 0.0000 0.4079
4 Ni 0.0000 0.0000 0.5000
5 Ir 0.0000 0.0000 0.2280

Formation energy from the elements = -44.5 kJ/mol of atoms

# 3
Material: Ta2Ga2Ni7Ir
Method: DFT, PBE-GGA
State: relaxed

abc: 4.7716 4.7718 14.7552
angles: 90.00 99.23 90.00
Space group C2/m (No. 12)
Inequivalent atoms, fractional coordinates:
1 Ta 0.1326 0.0000 0.2672
2 Ga 0.1898 0.5000 0.3806
3 Ni 0.0000 0.0000 0.0000
4 Ni 0.1834 0.2500 0.8648
5 Ni 0.2256 0.0000 0.4509
6 Ir 0.0000 0.5000 0.0000

Formation energy from the elements = 4.7 kJ/mol of atoms

# 4
Material: TbGa4NiIr2
Method: DFT, PBE-GGA
State: relaxed

abc: 4.2376 4.2376 25.3841
angles: 90.00 90.00 120.00
Space group R-3m (No. 166, hexagonal axes)
Inequivalent atoms, fractional coordinates:
1 Tb 0.0000 0.0000 0.0000
2 Ga 0.0000 0.0000 0.1325
3 Ga 0.0000 0.0000 0.4000
4 Ni 0.0000 0.0000 0.5000
5 Ir 0.0000 0.0000 0.2347

Formation energy from the elements = -51.1 kJ/mol of atoms